# Rb2BaAgCl5, relaxed, DFT GGA-PBE
# total DFT energy (no corrections) = -64.20 eV per cell
# formation energy (no corrections) = -1.796 eV/atom
# symmetry = Cmc2_1 (36)
data_Rb2BaAgCl5
_cell_length_a 9.8143
_cell_length_b 9.8143
_cell_length_c 13.9086
_cell_angle_alpha 90.00
_cell_angle_beta 90.00
_cell_angle_gamma 153.11
_symmetry_space_group_name_H-M 'P 1'
_symmetry_Int_Tables_number 1
_symmetry_space_group_name_Hall 'P 1'
loop_
_atom_site_label
_atom_site_type_symbol
_atom_site_fract_x
_atom_site_fract_y
_atom_site_fract_z
Rb1 Rb 0.1096 0.8904 0.5000
Rb2 Rb 0.1215 0.8785 0.1197
Rb3 Rb 0.8785 0.1215 0.6197
Rb4 Rb 0.8904 0.1096 0.0000
Ba1 Ba 0.2020 0.7980 0.8169
Ba2 Ba 0.7980 0.2020 0.3169
Ag1 Ag 0.4928 0.5072 0.2806
Ag2 Ag 0.5072 0.4928 0.7806
Cl1 Cl 0.0421 0.9579 0.8589
Cl2 Cl 0.2919 0.7081 0.4663
Cl3 Cl 0.2990 0.7010 0.1691
Cl4 Cl 0.3629 0.6371 0.8160
Cl5 Cl 0.4973 0.5027 0.0978
Cl6 Cl 0.5027 0.4973 0.5978
Cl7 Cl 0.6371 0.3629 0.3160
Cl8 Cl 0.7010 0.2990 0.6691
Cl9 Cl 0.7081 0.2919 0.9663
Cl10 Cl 0.9579 0.0421 0.3589



# RbBaAg2Cl8, relaxed, DFT GGA-PBE
# total DFT energy (no corrections) = -36.32 eV per cell
# formation energy (no corrections) = -1.079 eV/atom
# symmetry = I-4 (82)
data_RbBaAg2Cl8
_cell_length_a 8.3383
_cell_length_b 8.3383
_cell_length_c 8.3383
_cell_angle_alpha 126.84
_cell_angle_beta 126.84
_cell_angle_gamma 78.52
_symmetry_space_group_name_H-M 'P 1'
_symmetry_Int_Tables_number 1
_symmetry_space_group_name_Hall 'P 1'
loop_
_atom_site_label
_atom_site_type_symbol
_atom_site_fract_x
_atom_site_fract_y
_atom_site_fract_z
Rb1 Rb 0.0000 0.0000 0.0000
Ba1 Ba 0.2500 0.7500 0.5000
Ag1 Ag 0.5000 0.5000 0.0000
Ag2 Ag 0.7500 0.2500 0.5000
Cl1 Cl 0.0340 0.3541 0.9265
Cl2 Cl 0.2019 0.4748 0.6437
Cl3 Cl 0.4277 0.1075 0.0735
Cl4 Cl 0.4418 0.7981 0.2729
Cl5 Cl 0.5252 0.1689 0.7271
Cl6 Cl 0.6459 0.5723 0.6798
Cl7 Cl 0.8311 0.5582 0.3563
Cl8 Cl 0.8925 0.9660 0.3202



# RbBaAgCl4, relaxed, DFT GGA-PBE
# total DFT energy (no corrections) = -50.69 eV per cell
# formation energy (no corrections) = -1.746 eV/atom
# symmetry = P2_1/m (11)
data_RbBaAgCl4
_cell_length_a 7.4213
_cell_length_b 7.1420
_cell_length_c 9.2375
_cell_angle_alpha 90.00
_cell_angle_beta 108.60
_cell_angle_gamma 90.00
_symmetry_space_group_name_H-M 'P 1'
_symmetry_Int_Tables_number 1
_symmetry_space_group_name_Hall 'P 1'
loop_
_atom_site_label
_atom_site_type_symbol
_atom_site_fract_x
_atom_site_fract_y
_atom_site_fract_z
Rb1 Rb 0.2445 0.2500 0.4410
Rb2 Rb 0.7555 0.7500 0.5590
Ba1 Ba 0.2682 0.2500 0.9437
Ba2 Ba 0.7318 0.7500 0.0563
Ag1 Ag 0.2603 0.7500 0.1941
Ag2 Ag 0.7397 0.2500 0.8059
Cl1 Cl 0.0519 0.7500 0.9074
Cl2 Cl 0.0581 0.7500 0.3664
Cl3 Cl 0.4834 0.5086 0.7755
Cl4 Cl 0.4834 0.9914 0.7755
Cl5 Cl 0.5166 0.0086 0.2245
Cl6 Cl 0.5166 0.4914 0.2245
Cl7 Cl 0.9419 0.2500 0.6336
Cl8 Cl 0.9481 0.2500 0.0926



# BaAg2RhCl, relaxed, DFT GGA-PBE
# total DFT energy (no corrections) = -12.52 eV per cell
# formation energy (no corrections) = 0.860 eV/atom
# symmetry = P4/mmm (123)
data_BaAg2RhCl
_cell_length_a 6.2512
_cell_length_b 6.2512
_cell_length_c 5.6650
_cell_angle_alpha 90.00
_cell_angle_beta 90.00
_cell_angle_gamma 90.00
_symmetry_space_group_name_H-M 'P 1'
_symmetry_Int_Tables_number 1
_symmetry_space_group_name_Hall 'P 1'
loop_
_atom_site_label
_atom_site_type_symbol
_atom_site_fract_x
_atom_site_fract_y
_atom_site_fract_z
Ba1 Ba 0.0000 0.0000 0.0000
Ag1 Ag 0.0000 0.5000 0.0000
Ag2 Ag 0.5000 0.0000 0.0000
Rh1 Rh 0.5000 0.5000 0.5000
Cl1 Cl 0.0000 0.0000 0.5000



# BaAgRh2Cl, relaxed, DFT GGA-PBE
# total DFT energy (no corrections) = -14.43 eV per cell
# formation energy (no corrections) = 1.379 eV/atom
# symmetry = P4/mmm (123)
data_BaAgRh2Cl
_cell_length_a 5.1358
_cell_length_b 5.1358
_cell_length_c 6.1696
_cell_angle_alpha 90.00
_cell_angle_beta 90.00
_cell_angle_gamma 90.00
_symmetry_space_group_name_H-M 'P 1'
_symmetry_Int_Tables_number 1
_symmetry_space_group_name_Hall 'P 1'
loop_
_atom_site_label
_atom_site_type_symbol
_atom_site_fract_x
_atom_site_fract_y
_atom_site_fract_z
Ba1 Ba 0.0000 0.0000 0.0000
Ag1 Ag 0.0000 0.0000 0.5000
Rh1 Rh 0.0000 0.5000 0.0000
Rh2 Rh 0.5000 0.0000 0.0000
Cl1 Cl 0.5000 0.5000 0.5000



# BaAgS2Cl, relaxed, DFT GGA-PBE
# total DFT energy (no corrections) = -19.21 eV per cell
# energy above the lowest structure with this stoichiometry = 0.00 kJ/mol of atoms
# formation energy (no corrections) = -0.866 eV/atom
# symmetry = P4/mmm (123)
data_BaAgS2Cl
_cell_length_a 4.8965
_cell_length_b 4.8965
_cell_length_c 5.3022
_cell_angle_alpha 90.00
_cell_angle_beta 90.00
_cell_angle_gamma 90.00
_symmetry_space_group_name_H-M 'P 1'
_symmetry_Int_Tables_number 1
_symmetry_space_group_name_Hall 'P 1'
loop_
_atom_site_label
_atom_site_type_symbol
_atom_site_fract_x
_atom_site_fract_y
_atom_site_fract_z
Ba1 Ba 0.0000 0.0000 0.0000
Ag1 Ag 0.5000 0.5000 0.5000
S1 S 0.0000 0.5000 0.5000
S2 S 0.5000 0.0000 0.5000
Cl1 Cl 0.5000 0.5000 0.0000



# BaAgS2Cl, relaxed, DFT GGA-PBE
# total DFT energy (no corrections) = -14.95 eV per cell
# energy above the lowest structure with this stoichiometry = 82.05 kJ/mol of atoms
# formation energy (no corrections) = -0.016 eV/atom
# symmetry = P4/mmm (123)
data_BaAgS2Cl
_cell_length_a 6.0468
_cell_length_b 6.0468
_cell_length_c 5.8928
_cell_angle_alpha 90.00
_cell_angle_beta 90.00
_cell_angle_gamma 90.00
_symmetry_space_group_name_H-M 'P 1'
_symmetry_Int_Tables_number 1
_symmetry_space_group_name_Hall 'P 1'
loop_
_atom_site_label
_atom_site_type_symbol
_atom_site_fract_x
_atom_site_fract_y
_atom_site_fract_z
Ba1 Ba 0.0000 0.0000 0.0000
Ag1 Ag 0.5000 0.5000 0.5000
S1 S 0.0000 0.5000 0.0000
S2 S 0.5000 0.0000 0.0000
Cl1 Cl 0.0000 0.0000 0.5000



# BaAgSCl2, relaxed, DFT GGA-PBE
# total DFT energy (no corrections) = -18.47 eV per cell
# energy above the lowest structure with this stoichiometry = 0.00 kJ/mol of atoms
# formation energy (no corrections) = -1.174 eV/atom
# symmetry = P4/mmm (123)
data_BaAgSCl2
_cell_length_a 5.0888
_cell_length_b 5.0888
_cell_length_c 5.0624
_cell_angle_alpha 90.00
_cell_angle_beta 90.00
_cell_angle_gamma 90.00
_symmetry_space_group_name_H-M 'P 1'
_symmetry_Int_Tables_number 1
_symmetry_space_group_name_Hall 'P 1'
loop_
_atom_site_label
_atom_site_type_symbol
_atom_site_fract_x
_atom_site_fract_y
_atom_site_fract_z
Ba1 Ba 0.0000 0.0000 0.0000
Ag1 Ag 0.5000 0.5000 0.5000
S1 S 0.5000 0.5000 0.0000
Cl1 Cl 0.0000 0.5000 0.5000
Cl2 Cl 0.5000 0.0000 0.5000



# BaAgSCl2, relaxed, DFT GGA-PBE
# total DFT energy (no corrections) = -15.51 eV per cell
# energy above the lowest structure with this stoichiometry = 56.98 kJ/mol of atoms
# formation energy (no corrections) = -0.584 eV/atom
# symmetry = P4/mmm (123)
data_BaAgSCl2
_cell_length_a 5.9197
_cell_length_b 5.9197
_cell_length_c 6.1563
_cell_angle_alpha 90.00
_cell_angle_beta 90.00
_cell_angle_gamma 90.00
_symmetry_space_group_name_H-M 'P 1'
_symmetry_Int_Tables_number 1
_symmetry_space_group_name_Hall 'P 1'
loop_
_atom_site_label
_atom_site_type_symbol
_atom_site_fract_x
_atom_site_fract_y
_atom_site_fract_z
Ba1 Ba 0.0000 0.0000 0.0000
Ag1 Ag 0.5000 0.5000 0.5000
S1 S 0.0000 0.0000 0.5000
Cl1 Cl 0.0000 0.5000 0.0000
Cl2 Cl 0.5000 0.0000 0.0000



# BaScAg2Cl8, relaxed, DFT GGA-PBE
# total DFT energy (no corrections) = -45.49 eV per cell
# formation energy (no corrections) = -1.397 eV/atom
# symmetry = P-3 (147)
data_BaScAg2Cl8
_cell_length_a 6.6005
_cell_length_b 6.6005
_cell_length_c 8.5978
_cell_angle_alpha 90.00
_cell_angle_beta 90.00
_cell_angle_gamma 120.00
_symmetry_space_group_name_H-M 'P 1'
_symmetry_Int_Tables_number 1
_symmetry_space_group_name_Hall 'P 1'
loop_
_atom_site_label
_atom_site_type_symbol
_atom_site_fract_x
_atom_site_fract_y
_atom_site_fract_z
Ba1 Ba 0.0000 0.0000 0.0000
Sc1 Sc 0.0000 0.0000 0.5000
Ag1 Ag 0.3333 0.6667 0.6948
Ag2 Ag 0.6667 0.3333 0.3052
Cl1 Cl 0.0492 0.7284 0.3233
Cl2 Cl 0.2716 0.3209 0.3233
Cl3 Cl 0.3209 0.0492 0.6767
Cl4 Cl 0.3333 0.6667 0.9840
Cl5 Cl 0.6667 0.3333 0.0160
Cl6 Cl 0.6791 0.9508 0.3233
Cl7 Cl 0.7284 0.6791 0.6767
Cl8 Cl 0.9508 0.2716 0.6767



# BaAgSeCl, relaxed, DFT GGA-PBE
# total DFT energy (no corrections) = -31.91 eV per cell
# formation energy (no corrections) = -1.462 eV/atom
# symmetry = R-3m (166)
data_BaAgSeCl
_cell_length_a 12.6777
_cell_length_b 12.6777
_cell_length_c 12.6777
_cell_angle_alpha 21.51
_cell_angle_beta 21.51
_cell_angle_gamma 21.51
_symmetry_space_group_name_H-M 'P 1'
_symmetry_Int_Tables_number 1
_symmetry_space_group_name_Hall 'P 1'
loop_
_atom_site_label
_atom_site_type_symbol
_atom_site_fract_x
_atom_site_fract_y
_atom_site_fract_z
Ba1 Ba 0.0991 0.0991 0.0991
Ba2 Ba 0.9009 0.9009 0.9009
Ag1 Ag 0.3073 0.3073 0.3073
Ag2 Ag 0.6927 0.6927 0.6927
Se1 Se 0.3816 0.3816 0.3816
Se2 Se 0.6184 0.6184 0.6184
Cl1 Cl 0.1969 0.1969 0.1969
Cl2 Cl 0.8031 0.8031 0.8031



# BaSmAg2Cl8, relaxed, DFT GGA-PBE
# total DFT energy (no corrections) = -45.28 eV per cell
# formation energy (no corrections) = -1.513 eV/atom
# symmetry = I-4 (82)
data_BaSmAg2Cl8
_cell_length_a 8.6066
_cell_length_b 8.6066
_cell_length_c 8.6066
_cell_angle_alpha 132.63
_cell_angle_beta 132.63
_cell_angle_gamma 69.24
_symmetry_space_group_name_H-M 'P 1'
_symmetry_Int_Tables_number 1
_symmetry_space_group_name_Hall 'P 1'
loop_
_atom_site_label
_atom_site_type_symbol
_atom_site_fract_x
_atom_site_fract_y
_atom_site_fract_z
Ba1 Ba 0.0000 0.0000 0.0000
Sm1 Sm 0.2500 0.7500 0.5000
Ag1 Ag 0.5000 0.5000 0.0000
Ag2 Ag 0.7500 0.2500 0.5000
Cl1 Cl 0.2680 0.7070 0.1482
Cl2 Cl 0.2930 0.4412 0.5610
Cl3 Cl 0.3950 0.0010 0.0302
Cl4 Cl 0.5588 0.1198 0.8518
Cl5 Cl 0.6351 0.6050 0.6060
Cl6 Cl 0.8802 0.7320 0.4390
Cl7 Cl 0.9708 0.3649 0.9698
Cl8 Cl 0.9990 0.0292 0.3940